# 1
Density functional theory data (GGA-PBE) for CeHf2Pt after structural relaxation.

## Properties
Crystal system ... tetragonal
ΔE to the lowest computed polymorph ... 0 meV/atom
ΔE_f ... -0.46 eV/atom
V ... 86.4 Å³/cell

Cell: 3.3722 3.3722 7.6011 Å, 90.00 90.00 90.00°
Space group P4/mmm (No. 123)
Unique sites:
Ce 0.0000 0.0000 0.0000 x1
Hf 0.5000 0.5000 0.2907 x2
Pt 0.0000 0.0000 0.5000 x1



# 2
Density functional theory data (GGA-PBE) for Ca2HfNiSb after structural relaxation.

## Properties
Crystal system ... tetragonal
V ... 153.0 Å³/cell
Energy relative to the elements, uncorrected ... 3.54 eV/f.u.

Cell: 5.8081 5.8081 4.5341 Å, 90.00 90.00 90.00°
Space group P4/mmm (No. 123)
Unique sites:
Ca 0.0000 0.5000 0.0000 x2
Hf 0.0000 0.0000 0.0000 x1
Ni 0.0000 0.0000 0.5000 x1
Sb 0.5000 0.5000 0.5000 x1



# 3
Density functional theory data (GGA-PBE) for CaPm8Nd3 after structural relaxation.

## Properties
Crystal system ... monoclinic
ΔE_f ... 0.05 eV/atom
V ... 423.4 Å³/cell

Cell: 9.9934 3.6260 11.6855 Å, 90.00 90.55 90.00°
Space group Pm (No. 6)
Unique sites:
Ca 0.0000 0.0000 0.0000 x1
Pm 0.2075 0.5000 0.7496 x1
Pm 0.3426 0.0000 0.4938 x1
Pm 0.3520 0.0000 0.0166 x1
Pm 0.6634 0.5000 0.0064 x1
Pm 0.6705 0.5000 0.5066 x1
Pm 0.8025 0.0000 0.2627 x1
Pm 0.8497 0.5000 0.7580 x1
Pm 0.9924 0.0000 0.5249 x1
Nd 0.1361 0.5000 0.2707 x1
Nd 0.4875 0.5000 0.2560 x1
Nd 0.5351 0.0000 0.7564 x1



# 4
Density functional theory data (GGA-PBE) for Ag2CN after structural relaxation.

## Properties
Crystal system ... tetragonal
ΔE to the lowest computed polymorph ... 0 meV/atom
V ... 223.0 Å³/cell
Energy relative to the elements, uncorrected ... 7.77 eV/f.u.

Cell: 5.5624 5.5624 7.2086 Å, 90.00 90.00 90.00°
Space group I-42d (No. 122)
Unique sites:
Ag 0.2432 0.2500 0.1250 x8
C 0.0000 0.0000 0.0000 x4
N 0.0000 0.0000 0.5000 x4



# 5
Density functional theory data (GGA-PBE) for TcSn2Ir after structural relaxation.

## Properties
Crystal system ... tetragonal
ΔE to the lowest computed polymorph ... 533 meV/atom
ΔE_f ... 0.58 eV/atom
V ... 324.6 Å³/cell

Cell: 7.3553 7.3553 5.9996 Å, 90.00 90.00 90.00°
Space group I-42d (No. 122)
Unique sites:
Tc 0.0000 0.0000 0.0000 x4
Sn 0.2347 0.2500 0.6250 x8
Ir 0.0000 0.0000 0.5000 x4



# 6
Density functional theory data (GGA-PBE) for VS3Cl after structural relaxation.

## Properties
Crystal system ... triclinic
ΔE to the lowest computed polymorph ... 0 meV/atom
V ... 223.3 Å³/cell
Energy relative to the elements, uncorrected ... -2.76 eV/f.u.

Cell: 3.3533 6.4792 10.3114 Å, 87.70 85.87 89.43°
Space group P-1 (No. 2)
Unique sites:
V 0.2376 0.4962 0.1154 x2
S 0.1523 0.3676 0.5397 x2
S 0.2080 0.7198 0.3056 x2
S 0.2622 0.2691 0.9499 x2
Cl 0.2840 0.7178 0.7739 x2



# 7
Density functional theory data (GGA-PBE) for ScGeBS2 after structural relaxation.

## Properties
Crystal system ... tetragonal
V ... 82.0 Å³/cell
Energy relative to the elements, uncorrected ... 1.51 eV/f.u.

Cell: 4.1622 4.1622 4.7345 Å, 90.00 90.00 90.00°
Space group P4/mmm (No. 123)
Unique sites:
Sc 0.0000 0.0000 0.0000 x1
Ge 0.5000 0.5000 0.0000 x1
B 0.0000 0.0000 0.5000 x1
S 0.0000 0.5000 0.5000 x2



# 8
Density functional theory data (GGA-PBE) for PrSmZnHg after structural relaxation.

## Properties
Crystal system ... tetragonal
ΔE to the lowest computed polymorph ... 0 meV/atom
ΔE_f ... -0.40 eV/atom
V ... 105.6 Å³/cell

Cell: 3.7337 3.7337 7.5742 Å, 90.00 90.00 90.00°
Space group P4mm (No. 99)
Unique sites:
Pr 0.0000 0.0000 0.0000 x1
Sm 0.0000 0.0000 0.4658 x1
Zn 0.5000 0.5000 0.2415 x1
Hg 0.5000 0.5000 0.7221 x1



# 9
Density functional theory data (GGA-PBE) for TiPtSe after structural relaxation.

## Properties
Crystal system ... triclinic
V ... 114.2 Å³/cell
Energy relative to the elements, uncorrected ... -2.74 eV/f.u.

Cell: 3.4421 3.4422 9.6372 Å, 90.32 90.21 90.01°
Space group P-1 (No. 2)
Unique sites:
Ti 0.2485 0.2469 0.2882 x2
Pt 0.2508 0.2510 0.5627 x2
Se 0.2531 0.2552 0.8332 x2



# 10
Density functional theory data (GGA-PBE) for KCd3Ga after structural relaxation.

## Properties
Crystal system ... cubic
ΔE to the lowest computed polymorph ... 138 meV/atom
ΔE_f ... 0.06 eV/atom
V ... 156.4 Å³/cell

Cell: 5.3880 5.3880 5.3880 Å, 90.00 90.00 90.00°
Space group Pm-3m (No. 221)
Unique sites:
K 0.0000 0.0000 0.0000 x1
Cd 0.0000 0.5000 0.5000 x3
Ga 0.5000 0.5000 0.5000 x1



# 11
Density functional theory data (GGA-PBE) for Dy2Ho3Sc2 after structural relaxation.

## Properties
Crystal system ... orthorhombic
ΔE to the lowest computed polymorph ... 0 meV/atom
ΔE_f ... 0.04 eV/atom
V ... 410.8 Å³/cell

Cell: 5.1655 23.1876 3.4298 Å, 90.00 90.00 90.00°
Space group Cmmm (No. 65)
Unique sites:
Dy 0.0000 0.0751 0.0000 x4
Ho 0.0000 0.3438 0.5000 x4
Ho 0.0000 0.5000 0.5000 x2
Sc 0.0000 0.2162 0.0000 x4



# 12
Density functional theory data (GGA-PBE) for K2Nd2PaS6 after structural relaxation.

## Properties
Crystal system ... monoclinic
V ... 668.1 Å³/cell
Energy relative to the elements, uncorrected ... -19.67 eV/f.u.

Cell: 7.1904 12.3519 7.9000 Å, 90.00 107.78 90.00°
Space group C2/m (No. 12)
Unique sites:
K 0.0000 0.1692 0.0000 x4
Nd 0.0000 0.3343 0.5000 x4
Pa 0.0000 0.0000 0.5000 x2
S 0.2256 0.1614 0.6989 x8
S 0.2489 0.0000 0.3013 x4



# 13
Density functional theory data (GGA-PBE) for YZrHg2 after structural relaxation.

## Properties
Crystal system ... cubic
ΔE to the lowest computed polymorph ... 409 meV/atom
ΔE_f ... 0.13 eV/atom
V ... 386.5 Å³/cell

Cell: 7.2843 7.2843 7.2843 Å, 90.00 90.00 90.00°
Space group F-43m (No. 216)
Unique sites:
Y 0.0000 0.0000 0.0000 x4
Zr 0.2500 0.2500 0.2500 x4
Hg 0.0000 0.0000 0.5000 x4
Hg 0.2500 0.2500 0.7500 x4



# 14
Density functional theory data (GGA-PBE) for Ba2WAu after structural relaxation.

## Properties
Crystal system ... tetragonal
ΔE to the lowest computed polymorph ... 302 meV/atom
ΔE_f ... 0.74 eV/atom
V ... 127.2 Å³/cell

Cell: 5.7740 5.7740 3.8162 Å, 90.00 90.00 90.00°
Space group P4/mmm (No. 123)
Unique sites:
Ba 0.0000 0.5000 0.0000 x2
W 0.0000 0.0000 0.5000 x1
Au 0.5000 0.5000 0.5000 x1



# 15
Density functional theory data (GGA-PBE) for HgH after structural relaxation.

## Properties
Crystal system ... monoclinic
ΔE to the lowest computed polymorph ... 302 meV/atom
V ... 66.1 Å³/cell

Cell: 3.3980 5.1775 3.7563 Å, 90.00 90.35 90.00°
Space group C2/m (No. 12)
Unique sites:
Hg 0.0000 0.0000 0.0000 x2
H 0.0000 0.0000 0.5000 x2



# 16
Density functional theory data (GGA-PBE) for Nd3Tl after structural relaxation.

## Properties
Crystal system ... cubic
ΔE to the lowest computed polymorph ... 0 meV/atom
ΔE_f ... -0.20 eV/atom
V ... 124.6 Å³/cell

Cell: 4.9950 4.9950 4.9950 Å, 90.00 90.00 90.00°
Space group Pm-3m (No. 221)
Unique sites:
Nd 0.0000 0.0000 0.5000 x3
Tl 0.5000 0.5000 0.5000 x1



# 17
Density functional theory data (GGA-PBE) for Sr12Sn4PbN3 after structural relaxation.

## Properties
Crystal system ... cubic
V ... 1319.2 Å³/cell
Energy relative to the elements, uncorrected ... -10.30 eV/f.u.

Cell: 10.9673 10.9673 10.9673 Å, 90.00 90.00 90.00°
Space group Im-3m (No. 229)
Unique sites:
Sr 0.0000 0.0000 0.2822 x12
Sr 0.0000 0.2500 0.5000 x12
Sn 0.2500 0.2500 0.2500 x8
Pb 0.0000 0.0000 0.0000 x2
N 0.0000 0.0000 0.5000 x6



# 18
Density functional theory data (GGA-PBE) for LiEu2Ir after structural relaxation.

## Properties
Crystal system ... trigonal
ΔE_f ... -0.01 eV/atom
V ... 434.3 Å³/cell

Cell: 4.0482 4.0482 30.6028 Å, 90.00 90.00 120.00°
Space group R-3m (No. 166, hexagonal axes)
Unique sites:
Li 0.0000 0.0000 0.0000 x3
Eu 0.0000 0.0000 0.1142 x6
Ir 0.0000 0.0000 0.5000 x3



# 19
Density functional theory data (GGA-PBE) for BiW3Cl after structural relaxation.

## Properties
Crystal system ... cubic
ΔE to the lowest computed polymorph ... 0 meV/atom
V ... 94.1 Å³/cell
Energy relative to the elements, uncorrected ... 8.59 eV/f.u.

Cell: 4.5488 4.5488 4.5488 Å, 90.00 90.00 90.00°
Space group Pm-3m (No. 221)
Unique sites:
Bi 0.0000 0.0000 0.0000 x1
W 0.0000 0.5000 0.5000 x3
Cl 0.5000 0.5000 0.5000 x1



# 20
Density functional theory data (GGA-PBE) for CaFeTc2 after structural relaxation.

## Properties
Crystal system ... tetragonal
ΔE to the lowest computed polymorph ... 103 meV/atom
ΔE_f ... 0.47 eV/atom
V ... 64.5 Å³/cell

Cell: 2.7526 2.7526 8.5060 Å, 90.00 90.00 90.00°
Space group P4/mmm (No. 123)
Unique sites:
Ca 0.0000 0.0000 0.0000 x1
Fe 0.0000 0.0000 0.5000 x1
Tc 0.5000 0.5000 0.2989 x2



no.,density of states at the Fermi level (states/eV per cell),total magnetic moment (μB/cell),DFT total energy (eV per atom)
1,5.3,0.068,-8.43
2,5.0,0.000,-4.06
3,17.7,0.000,-4.48
4,9.0,0.000,-3.87
5,12.6,8.421,-6.23
6,4.9,0.625,-5.22
7,4.1,0.000,-4.87
8,4.0,0.000,-3.17
9,2.7,0.000,-6.72
10,2.5,0.000,-1.31
11,22.5,0.000,-5.05
12,3.9,2.169,-5.97
13,14.6,11.574,-3.78
14,3.0,2.957,-4.28
15,0.9,0.000,-1.50
16,7.2,0.005,-4.37
17,29.2,0.000,-3.76
18,41.1,41.703,-7.84
19,5.6,0.000,-7.20
20,3.3,1.811,-7.33